BiSbPtI2: relaxed, PBEsol.

Unit cell a=5.769 b=5.769 c=6.083 alpha=90.00 beta=90.00 gamma=90.00
Each line ends with the local moment (μB).
Positions (direct):
I  0.500  0.000  0.000  0.03
I  0.000  0.500  0.000  0.03
Bi  0.000  0.000  0.000  -0.01
Pt  0.500  0.500  0.500  0.44
Sb  0.000  0.000  0.500  0.10

Calculated density, g/cm3: 6.4
Formation energy (no corrections), eV per atom: 1.26
Space group: P4/mmm, No. 123